*a*
GGA-PBE BaOsC3, optimized geometry; crystal system = cubic; DOS(E_F) = 3.80 states/eV/f.u.; V = 70.5 Å³ per cell
1.0
4.131 0.000 0.000
0.000 4.131 0.000
0.000 0.000 4.131
Ba Os C
1 1 3
Direct
0.000 0.000 0.000 Ba
0.500 0.500 0.500 Os
0.000 0.500 0.500 C
0.500 0.000 0.500 C
0.500 0.500 0.000 C

---

*b*
GGA-PBE BaOsC3, optimized geometry; crystal system = cubic; DOS(E_F) = 7.11 states/eV/f.u.; V = 87.4 Å³ per cell
1.0
4.437 0.000 0.000
0.000 4.437 0.000
0.000 0.000 4.437
Ba Os C
1 1 3
Direct
0.000 0.000 0.000 Ba
0.500 0.500 0.500 Os
0.000 0.000 0.500 C
0.000 0.500 0.000 C
0.500 0.000 0.000 C

---

Which of them is most stable, and which least? Most stable: *a*; least stable: *b*.

---

*a*
GGA-PBE Ba2Os2C, optimized geometry; crystal system = tetragonal; DOS(E_F) = 4.35 states/eV/f.u.; V = 299.0 Å³ per cell
1.0
7.698 0.000 0.000
0.000 7.698 0.000
0.000 0.000 5.045
Ba Os C
4 4 2
Direct
0.184 0.316 0.000 Ba
0.316 0.816 0.000 Ba
0.684 0.184 0.000 Ba
0.816 0.684 0.000 Ba
0.102 0.602 0.500 Os
0.398 0.102 0.500 Os
0.602 0.898 0.500 Os
0.898 0.398 0.500 Os
0.000 0.000 0.000 C
0.500 0.500 0.000 C

---

*b*
GGA-PBE Ba2Os2C, optimized geometry; crystal system = tetragonal; DOS(E_F) = 4.94 states/eV/f.u.; V = 240.7 Å³ per cell
1.0
3.551 0.000 0.000
0.000 3.551 0.000
0.000 0.000 19.093
Ba Os C
4 4 2
Direct
0.000 0.000 0.090 Ba
0.000 0.000 0.910 Ba
0.500 0.500 0.410 Ba
0.500 0.500 0.590 Ba
0.000 0.500 0.250 Os
0.000 0.500 0.750 Os
0.500 0.000 0.250 Os
0.500 0.000 0.750 Os
0.000 0.000 0.500 C
0.500 0.500 0.000 C

---

Which of them is most stable, and which least? Most stable: *b*; least stable: *a*.

---

*a*
GGA-PBE BaP3C, optimized geometry; crystal system = cubic; DOS(E_F) = 8.50 states/eV/f.u.; V = 181.4 Å³ per cell
1.0
5.661 0.000 0.000
0.000 5.661 0.000
0.000 0.000 5.661
Ba P C
1 3 1
Direct
0.000 0.000 0.000 Ba
0.000 0.000 0.500 P
0.000 0.500 0.000 P
0.500 0.000 0.000 P
0.500 0.500 0.500 C

---

*b*
GGA-PBE BaP3C, optimized geometry; crystal system = cubic; DOS(E_F) = 4.16 states/eV/f.u.; V = 91.5 Å³ per cell
1.0
4.506 0.000 0.000
0.000 4.506 0.000
0.000 0.000 4.506
Ba P C
1 3 1
Direct
0.000 0.000 0.000 Ba
0.000 0.500 0.500 P
0.500 0.000 0.500 P
0.500 0.500 0.000 P
0.500 0.500 0.500 C

---

Which of them is most stable, and which least? Most stable: *b*; least stable: *a*.

---

*a*
GGA-PBE Ba2PC, optimized geometry; crystal system = tetragonal; DOS(E_F) = 1.74 states/eV/f.u.; V = 541.5 Å³ per cell
1.0
7.862 0.000 0.000
0.000 7.862 0.000
0.000 0.000 8.760
Ba P C
8 4 4
Direct
0.222 0.250 0.125 Ba
0.250 0.722 0.375 Ba
0.250 0.778 0.875 Ba
0.278 0.250 0.625 Ba
0.722 0.750 0.625 Ba
0.750 0.222 0.875 Ba
0.750 0.278 0.375 Ba
0.778 0.750 0.125 Ba
0.000 0.000 0.500 P
0.000 0.500 0.750 P
0.500 0.000 0.250 P
0.500 0.500 0.000 P
0.000 0.000 0.000 C
0.000 0.500 0.250 C
0.500 0.000 0.750 C
0.500 0.500 0.500 C

---

*b*
GGA-PBE Ba2PC, optimized geometry; crystal system = cubic; DOS(E_F) = 0.10 states/eV/f.u.; V = 452.6 Å³ per cell
1.0
7.678 0.000 0.000
0.000 7.678 0.000
0.000 0.000 7.678
Ba P C
8 4 4
Direct
0.250 0.250 0.250 Ba
0.250 0.250 0.750 Ba
0.250 0.750 0.250 Ba
0.250 0.750 0.750 Ba
0.750 0.250 0.250 Ba
0.750 0.250 0.750 Ba
0.750 0.750 0.250 Ba
0.750 0.750 0.750 Ba
0.000 0.000 0.000 P
0.000 0.500 0.500 P
0.500 0.000 0.500 P
0.500 0.500 0.000 P
0.000 0.000 0.500 C
0.000 0.500 0.000 C
0.500 0.000 0.000 C
0.500 0.500 0.500 C

---

Which of them is most stable, and which least? Most stable: *b*; least stable: *a*.

---

*a*
GGA-PBE BaPt3C, optimized geometry; crystal system = cubic; DOS(E_F) = 5.27 states/eV/f.u.; V = 89.8 Å³ per cell
1.0
4.478 0.000 0.000
0.000 4.478 0.000
0.000 0.000 4.478
Ba Pt C
1 3 1
Direct
0.000 0.000 0.000 Ba
0.000 0.500 0.500 Pt
0.500 0.000 0.500 Pt
0.500 0.500 0.000 Pt
0.500 0.500 0.500 C

---

*b*
GGA-PBE BaPt3C, optimized geometry; crystal system = cubic; DOS(E_F) = 4.24 states/eV/f.u.; V = 162.1 Å³ per cell
1.0
5.452 0.000 0.000
0.000 5.452 0.000
0.000 0.000 5.452
Ba Pt C
1 3 1
Direct
0.000 0.000 0.000 Ba
0.000 0.000 0.500 Pt
0.000 0.500 0.000 Pt
0.500 0.000 0.000 Pt
0.500 0.500 0.500 C

---

Which of them is most stable, and which least? Most stable: *a*; least stable: *b*.

---

*a*
GGA-PBE BaPtC2, optimized geometry; crystal system = cubic; DOS(E_F) = 1.42 states/eV/f.u.; V = 255.6 Å³ per cell
1.0
6.346 0.000 0.000
0.000 6.346 0.000
0.000 0.000 6.346
Ba Pt C
4 4 8
Direct
0.000 0.000 0.000 Ba
0.000 0.500 0.500 Ba
0.500 0.000 0.500 Ba
0.500 0.500 0.000 Ba
0.000 0.000 0.500 Pt
0.000 0.500 0.000 Pt
0.500 0.000 0.000 Pt
0.500 0.500 0.500 Pt
0.250 0.250 0.250 C
0.250 0.250 0.750 C
0.250 0.750 0.250 C
0.250 0.750 0.750 C
0.750 0.250 0.250 C
0.750 0.250 0.750 C
0.750 0.750 0.250 C
0.750 0.750 0.750 C

---

*b*
GGA-PBE BaPtC2, optimized geometry; crystal system = tetragonal; DOS(E_F) = 1.38 states/eV/f.u.; V = 310.1 Å³ per cell
1.0
5.510 0.000 0.000
0.000 5.510 0.000
0.000 0.000 10.215
Ba Pt C
4 4 8
Direct
0.000 0.000 0.000 Ba
0.000 0.500 0.250 Ba
0.500 0.000 0.750 Ba
0.500 0.500 0.500 Ba
0.000 0.000 0.500 Pt
0.000 0.500 0.750 Pt
0.500 0.000 0.250 Pt
0.500 0.500 0.000 Pt
0.118 0.250 0.625 C
0.250 0.618 0.875 C
0.250 0.882 0.375 C
0.382 0.250 0.125 C
0.618 0.750 0.125 C
0.750 0.118 0.375 C
0.750 0.382 0.875 C
0.882 0.750 0.625 C

---

Which of them is most stable, and which least? Most stable: *b*; least stable: *a*.

---

*a*
GGA-PBE RbBaC3, optimized geometry; crystal system = cubic; DOS(E_F) = 3.76 states/eV/f.u.; V = 142.8 Å³ per cell
1.0
5.227 0.000 0.000
0.000 5.227 0.000
0.000 0.000 5.227
Rb Ba C
1 1 3
Direct
0.000 0.000 0.000 Rb
0.500 0.500 0.500 Ba
0.000 0.000 0.500 C
0.000 0.500 0.000 C
0.500 0.000 0.000 C

---

*b*
GGA-PBE RbBaC3, optimized geometry; crystal system = cubic; DOS(E_F) = 0.00 states/eV/f.u.; V = 190.9 Å³ per cell
1.0
5.758 0.000 0.000
0.000 5.758 0.000
0.000 0.000 5.758
Rb Ba C
1 1 3
Direct
0.000 0.000 0.000 Rb
0.500 0.500 0.500 Ba
0.000 0.500 0.500 C
0.500 0.000 0.500 C
0.500 0.500 0.000 C

---

Which of them is most stable, and which least? Most stable: *b*; least stable: *a*.

---

*a*
GGA-PBE RbBaC2, optimized geometry; crystal system = cubic; DOS(E_F) = 3.32 states/eV/f.u.; V = 399.4 Å³ per cell
1.0
7.365 0.000 0.000
0.000 7.365 0.000
0.000 0.000 7.365
Rb Ba C
4 4 8
Direct
0.000 0.000 0.000 Rb
0.000 0.500 0.500 Rb
0.500 0.000 0.500 Rb
0.500 0.500 0.000 Rb
0.000 0.000 0.500 Ba
0.000 0.500 0.000 Ba
0.500 0.000 0.000 Ba
0.500 0.500 0.500 Ba
0.250 0.250 0.250 C
0.250 0.250 0.750 C
0.250 0.750 0.250 C
0.250 0.750 0.750 C
0.750 0.250 0.250 C
0.750 0.250 0.750 C
0.750 0.750 0.250 C
0.750 0.750 0.750 C

---

*b*
GGA-PBE RbBaC2, optimized geometry; crystal system = tetragonal; DOS(E_F) = 1.83 states/eV/f.u.; V = 517.7 Å³ per cell
1.0
5.455 0.000 0.000
0.000 5.455 0.000
0.000 0.000 17.398
Rb Ba C
4 4 8
Direct
0.000 0.000 0.000 Rb
0.000 0.500 0.250 Rb
0.500 0.000 0.750 Rb
0.500 0.500 0.500 Rb
0.000 0.000 0.500 Ba
0.000 0.500 0.750 Ba
0.500 0.000 0.250 Ba
0.500 0.500 0.000 Ba
0.066 0.250 0.625 C
0.250 0.566 0.875 C
0.250 0.934 0.375 C
0.434 0.250 0.125 C
0.566 0.750 0.125 C
0.750 0.066 0.375 C
0.750 0.434 0.875 C
0.934 0.750 0.625 C

---

Which of them is most stable, and which least? Most stable: *a*; least stable: *b*.